Ac3WBr2O6: optimized geometry, PBE with a Hubbard U.

VASP energy = -6.708 eV per atom
M_tot = 0.035 μB per atom

The structure in CIF format:
```
data_Ac3WBr2O6
_chemical_formula_sum 'Ac3 W1 Br2 O6'
_cell_length_a 7.224
_cell_length_b 7.224
_cell_length_c 5.936
_cell_angle_alpha 96.95
_cell_angle_beta 96.95
_cell_angle_gamma 56.36
_symmetry_space_group_name_H-M 'P 1'
_symmetry_Int_Tables_number 1
loop_
_symmetry_equiv_pos_as_xyz
'x,y,z'
loop_
_atom_site_label
_atom_site_fract_x
_atom_site_fract_y
_atom_site_fract_z
Ac1 0.000 0.000 0.000
Ac2 0.000 0.500 0.500
Ac3 0.500 0.000 0.500
W1 0.500 0.500 0.500
Br1 0.225 0.225 0.920
Br2 0.775 0.775 0.080
O1 0.232 0.664 0.691
O2 0.336 0.768 0.309
O3 0.357 0.357 0.341
O4 0.643 0.643 0.659
O5 0.664 0.232 0.691
O6 0.768 0.336 0.309
```